! Ti5Rh4W | Alexandria | GGA-PBE | optimized geometry; values from VASP
&SYSTEM
  ibrav = 0, nat = 10, ntyp = 3
/
ATOMIC_SPECIES
Rh 102.91 Rh.upf
Ti 47.87 Ti.upf
W 183.84 W.upf
ATOMIC_POSITIONS angstrom
Rh 0.000 0.000 12.148
Rh 0.000 0.000 9.170
Rh 0.000 0.000 3.167
Rh 0.000 0.000 6.145
Ti 1.575 1.575 7.658
Ti 1.575 1.575 13.783
Ti 1.575 1.575 1.532
Ti 1.575 1.575 10.694
Ti 1.575 1.575 4.621
W 0.000 0.000 0.000
CELL_PARAMETERS angstrom
3.151 0.000 0.000
0.000 3.151 0.000
0.000 0.000 15.315
! - density (g/cm3) = 9.12
! - crystal system = tetragonal
! - formation energy from the elements (eV per atom) = -0.64